1.
DFT (meta-GGA SCAN) results for a PBEsol-optimized structure of TiAl3I.

## Properties
DOS(E_F) = 3.7 states/eV per cell
spin magnetization = 1.96 μB/cell
E_tot = -13.739 eV/atom

Geometry as CIF:
```
data_TiAl3I
_chemical_formula_sum 'Ti1 Al3 I1'
_space_group_name_H-M_alt 'P m -3 m'
_space_group_IT_number 221
_space_group_name_Hall '-P 4 2 3'
_cell_length_a 5.271
_cell_length_b 5.271
_cell_length_c 5.271
_cell_angle_alpha 90.00
_cell_angle_beta 90.00
_cell_angle_gamma 90.00
loop_
_atom_site_label
_atom_site_type_symbol
_atom_site_fract_x
_atom_site_fract_y
_atom_site_fract_z
_atom_site_occupancy
Ti1 Ti 0.000 0.000 0.000 1
Al1 Al 0.000 0.500 0.500 1
I1 I 0.500 0.500 0.500 1
```

2.
DFT (meta-GGA SCAN) results for a PBEsol-optimized structure of Ti2N.

## Properties
DOS(E_F) = 2.6 states/eV per cell
spin magnetization = 0.00 μB/cell
E_tot = -15.263 eV/atom

Geometry as CIF:
```
data_Ti2N
_chemical_formula_sum 'Ti4 N2'
_space_group_name_H-M_alt 'P 42/m n m'
_space_group_IT_number 136
_space_group_name_Hall '-P 4n 2n'
_cell_length_a 4.906
_cell_length_b 4.906
_cell_length_c 3.007
_cell_angle_alpha 90.00
_cell_angle_beta 90.00
_cell_angle_gamma 90.00
loop_
_atom_site_label
_atom_site_type_symbol
_atom_site_fract_x
_atom_site_fract_y
_atom_site_fract_z
_atom_site_occupancy
Ti1 Ti 0.203 0.203 0.000 1
N1 N 0.000 0.000 0.500 1
```